Record 1
A relaxed CaSm2Co crystal. Source: Alexandria, functional PBE-GGA.

a = 3.849 Å, b = 3.849 Å, c = 10.772 Å
α = 79.71°, β = 79.71°, γ = 60.00°
Fractional positions:
Co 0.500 0.500 0.500
Sm 0.881 0.881 0.356
Ca 0.000 0.000 0.000
Sm 0.119 0.119 0.644

Output
- Energy relative to the lowest polymorph listed for this composition: 0.1542 eV per atom
- Calculated total energy: -4.543 eV per atom
- ΔE_f: 0.093 eV/atom

Record 2
A relaxed CrAsRu2 crystal. Source: Alexandria, functional PBE-GGA.

a = 2.889 Å, b = 2.889 Å, c = 6.485 Å
α = 90.00°, β = 90.00°, γ = 90.00°
Fractional positions:
Ru 0.000 0.000 0.985
As 0.000 0.000 0.507
Cr 0.500 0.500 0.736
Ru 0.500 0.500 0.273

Output
- Calculated total energy: -8.125 eV per atom
- ΔE_f: 0.081 eV/atom

Among the records above, which one has the highest ΔE_f? CaSm2Co